Entry 1:
Material: CsNa2CdBi
Method: DFT, PBE
State: optimized geometry

Computed properties:
Total magnetic moment: 0.0 μB per cell
Energy above the lowest structure with this stoichiometry: 0.00 kcal/mol of atoms
Energy relative to the elements: -0.6 eV per formula unit
Space group: No. 123
E_tot: -8.912 eV per cell

Cell: 6.1271 6.1271 6.1512 Å, 90.00 90.00 90.00°
With the nearest neighbours (Å) after each atom.
Element x y z (fractional)
Cd  0.0000  0.0000  0.5000  2 Bi 3.08
Cs  0.5000  0.5000  0.5000  4 Cd 4.33, 8 Na 4.34
Bi  0.0000  0.0000  0.0000  4 Na 3.06, 2 Cd 3.08
Na  0.0000  0.5000  0.0000  2 Bi 3.06
Na  0.5000  0.0000  0.0000  2 Bi 3.06

***

Entry 2:
Material: CsNaCd2Bi
Method: DFT, PBE
State: optimized geometry

Computed properties:
Total magnetic moment: 0.0 μB per cell
Energy above the lowest structure with this stoichiometry: 0.00 kcal/mol of atoms
Energy relative to the elements: -0.2 eV per formula unit
Space group: No. 123
E_tot: -8.061 eV per cell

Cell: 6.0938 6.0938 5.9778 Å, 90.00 90.00 90.00°
With the nearest neighbours (Å) after each atom.
Element x y z (fractional)
Cd  0.5000  0.0000  0.0000  2 Bi 3.05
Cs  0.5000  0.5000  0.5000  8 Cd 4.27, 4 Na 4.31
Cd  0.0000  0.5000  0.0000  2 Bi 3.05
Bi  0.0000  0.0000  0.0000  2 Na 2.99, 4 Cd 3.05
Na  0.0000  0.0000  0.5000  2 Bi 2.99

***

Entry 3:
Material: Cs2Na4CdBi2
Method: DFT, PBE
State: optimized geometry

Computed properties:
Total magnetic moment: 0.0 μB per cell
Energy relative to the elements: -1.8 eV per formula unit
Space group: No. 12
E_tot: -17.495 eV per cell

Cell: 5.7046 9.0709 9.0709 Å, 55.20 71.82 71.82°
With the nearest neighbours (Å) after each atom.
Element x y z (fractional)
Cs  0.6332  0.3684  0.3684  6 Na 3.81-3.89, 2 Bi 3.90, 1 Cs 3.96
Na  0.1362  0.6662  0.0644  1 Na 3.35, 3 Bi 3.41-3.64
Cs  0.3668  0.6316  0.6316  6 Na 3.81-3.89, 2 Bi 3.90, 1 Cs 3.96
Na  0.8638  0.3338  0.9356  1 Na 3.35, 3 Bi 3.41-3.64
Bi  0.3079  0.1917  0.1917  1 Cd 2.88
Na  0.8638  0.9356  0.3338  1 Na 3.35, 3 Bi 3.41-3.64
Bi  0.6921  0.8083  0.8083  1 Cd 2.88
Cd  0.5000  0.0000  0.0000  2 Bi 2.88
Na  0.1362  0.0644  0.6662  1 Na 3.35, 3 Bi 3.41-3.64

***

Entry 4:
Material: CsNaCdBi2
Method: DFT, PBE
State: optimized geometry

Computed properties:
Total magnetic moment: 0.0 μB per cell
Energy relative to the elements: -1.4 eV per formula unit
Space group: No. 119
E_tot: -12.277 eV per cell

Cell: 5.4834 5.4834 7.3291 Å, 111.97 111.97 90.00°
With the nearest neighbours (Å) after each atom.
Element x y z (fractional)
Cs  0.0000  0.0000  0.0000  4 Cd 4.15, 4 Na 4.15, 8 Bi 4.17
Cd  0.2500  0.7500  0.5000  4 Bi 3.16
Bi  0.6230  0.6230  0.2461  1 Bi 3.06, 2 Cd 3.16, 2 Na 3.16
Bi  0.3770  0.3770  0.7539  1 Bi 3.06, 2 Cd 3.16, 2 Na 3.16
Na  0.7500  0.2500  0.5000  4 Bi 3.16

***

Entry 5:
Material: Cs2NaCdBi
Method: DFT, PBE
State: optimized geometry

Computed properties:
Total magnetic moment: 0.0 μB per cell
Energy relative to the elements: -0.4 eV per formula unit
Space group: No. 123
E_tot: -8.216 eV per cell

Cell: 7.6435 7.6435 6.0288 Å, 90.00 90.00 90.00°
With the nearest neighbours (Å) after each atom.
Element x y z (fractional)
Bi  0.0000  0.0000  0.0000  2 Na 3.01
Cd  0.5000  0.5000  0.5000  8 Cs 4.87, 4 Na 5.40
Cs  0.5000  0.0000  0.0000  2 Bi 3.82
Na  0.0000  0.0000  0.5000  2 Bi 3.01
Cs  0.0000  0.5000  0.0000  2 Bi 3.82

***

Entry 6:
Material: CsCdBiO3
Method: DFT, PBE
State: optimized geometry

Computed properties:
Total magnetic moment: 0.0 μB per cell
Space group: No. 11
E_tot: -55.089 eV per cell
Formation energy without anion corrections: -1.1700 eV/atom

Cell: 3.6643 9.3878 8.5443 Å, 98.46 90.00 90.00°
With the nearest neighbours (Å) after each atom.
Element x y z (fractional)
O  0.2500  0.2416  0.8367  1 Cd 2.23, 2 Bi 2.33
Bi  0.2500  0.6045  0.1567  3 O 2.12-2.33
O  0.7500  0.4234  0.0940  1 Bi 2.12
Cs  0.7500  0.8195  0.8149  5 O 2.98-3.11
Cd  0.2500  0.1201  0.5926  4 O 2.23-2.32
Bi  0.7500  0.3955  0.8433  3 O 2.12-2.33
O  0.2500  0.8708  0.5545  3 Cd 2.23-2.32
O  0.2500  0.5766  0.9060  1 Bi 2.12
Cd  0.7500  0.8799  0.4074  4 O 2.23-2.32
O  0.7500  0.1292  0.4455  3 Cd 2.23-2.32
O  0.7500  0.7584  0.1633  1 Cd 2.23, 2 Bi 2.33
Cs  0.2500  0.1805  0.1851  5 O 2.98-3.11

***

Entry 7:
Material: Cs2CdBi3Pb4
Method: DFT, PBE
State: optimized geometry

Computed properties:
Total magnetic moment: 0.0 μB per cell
Energy relative to the elements: -1.6 eV per formula unit
Space group: No. 115
E_tot: -30.670 eV per cell

Cell: 5.5427 5.5427 13.1750 Å, 90.00 90.00 90.00°
With the nearest neighbours (Å) after each atom.
Element x y z (fractional)
Pb  0.0000  0.5000  0.3811  2 Cd 3.18, 3 Bi 3.18-3.23
Bi  0.5000  0.0000  0.8642  5 Pb 3.23-3.30
Cd  0.5000  0.5000  0.5000  4 Pb 3.18
Cs  0.5000  0.0000  0.2591  2 Cd 4.21, 6 Bi 4.21-4.24, 8 Pb 4.24-4.40
Bi  0.0000  0.5000  0.1358  5 Pb 3.23-3.30
Pb  0.0000  0.0000  0.0000  4 Bi 3.30
Bi  0.0000  0.0000  0.5000  4 Pb 3.18
Cs  0.0000  0.5000  0.7409  2 Cd 4.21, 6 Bi 4.21-4.24, 8 Pb 4.24-4.40
Pb  0.5000  0.5000  0.0000  4 Bi 3.30
Pb  0.5000  0.0000  0.6189  2 Cd 3.18, 3 Bi 3.18-3.23

***

Entry 8:
Material: Cs2Cd3Bi4Pb
Method: DFT, PBE
State: optimized geometry

Computed properties:
Total magnetic moment: 0.0 μB per cell
Energy relative to the elements: -2.1 eV per formula unit
Space group: No. 115
E_tot: -25.763 eV per cell

Cell: 5.4737 5.4737 12.3667 Å, 90.00 90.00 90.00°
With the nearest neighbours (Å) after each atom.
Element x y z (fractional)
Cd  0.0000  0.0000  0.5000  4 Bi 3.19
Pb  0.5000  0.5000  0.5000  4 Bi 3.19
Cd  0.0000  0.5000  0.1198  5 Bi 3.05-3.11
Cs  0.5000  0.0000  0.2463  8 Bi 4.09-4.15, 7 Cd 4.16-4.53, 2 Pb 4.16
Bi  0.5000  0.5000  0.0000  4 Cd 3.11
Cs  0.0000  0.5000  0.7537  8 Bi 4.09-4.15, 7 Cd 4.16-4.53, 2 Pb 4.16
Cd  0.5000  0.0000  0.8802  5 Bi 3.05-3.11
Bi  0.5000  0.0000  0.6332  3 Cd 3.05-3.19, 2 Pb 3.19
Bi  0.0000  0.5000  0.3668  3 Cd 3.05-3.19, 2 Pb 3.19
Bi  0.0000  0.0000  0.0000  4 Cd 3.11

***

Entry 9:
Material: Cs2Cd4Bi3Pb
Method: DFT, PBE
State: optimized geometry

Computed properties:
Total magnetic moment: 0.0 μB per cell
Energy relative to the elements: -2.1 eV per formula unit
Space group: No. 115
E_tot: -22.856 eV per cell

Cell: 5.3215 5.3215 12.5084 Å, 90.00 90.00 90.00°
With the nearest neighbours (Å) after each atom.
Element x y z (fractional)
Cs  0.5000  0.0000  0.2422  6 Bi 4.03-4.18, 8 Cd 4.03-4.08, 2 Pb 4.18
Bi  0.0000  0.0000  0.5000  4 Cd 3.12
Cd  0.5000  0.0000  0.6310  3 Bi 3.03-3.12, 2 Pb 3.12
Cd  0.0000  0.5000  0.3690  3 Bi 3.03-3.12, 2 Pb 3.12
Cd  0.0000  0.0000  0.0000  4 Bi 3.10
Cd  0.5000  0.5000  0.0000  4 Bi 3.10
Bi  0.0000  0.5000  0.1267  5 Cd 3.03-3.10
Pb  0.5000  0.5000  0.5000  4 Cd 3.12
Cs  0.0000  0.5000  0.7578  6 Bi 4.03-4.18, 8 Cd 4.03-4.08, 2 Pb 4.18
Bi  0.5000  0.0000  0.8733  5 Cd 3.03-3.10

***

Entry 10:
Material: CsCd4Bi2Pb
Method: DFT, PBE
State: optimized geometry

Computed properties:
Total magnetic moment: 0.0 μB per cell
Energy relative to the elements: -0.8 eV per formula unit
Space group: No. 123
E_tot: -16.742 eV per cell

Cell: 4.8843 4.8843 11.3649 Å, 90.00 90.00 90.00°
With the nearest neighbours (Å) after each atom.
Element x y z (fractional)
Cs  0.0000  0.0000  0.5000  8 Bi 3.99
Cd  0.0000  0.5000  0.8317  2 Bi 3.02, 2 Pb 3.10
Bi  0.5000  0.5000  0.6752  4 Cd 3.02
Cd  0.0000  0.5000  0.1683  2 Bi 3.02, 2 Pb 3.10
Cd  0.5000  0.0000  0.1683  2 Bi 3.02, 2 Pb 3.10
Cd  0.5000  0.0000  0.8317  2 Bi 3.02, 2 Pb 3.10
Bi  0.5000  0.5000  0.3248  4 Cd 3.02
Pb  0.0000  0.0000  0.0000  8 Cd 3.10

***

Entry 11:
Material: Cs2Cd4BiPb3
Method: DFT, PBE
State: optimized geometry

Computed properties:
Total magnetic moment: 0.0 μB per cell
Energy relative to the elements: -1.1 eV per formula unit
Space group: No. 115
E_tot: -21.513 eV per cell

Cell: 5.1734 5.1734 13.0446 Å, 90.00 90.00 90.00°
With the nearest neighbours (Å) after each atom.
Element x y z (fractional)
Pb  0.5000  0.0000  0.8731  5 Cd 3.02-3.07
Cd  0.5000  0.5000  0.0000  4 Pb 3.07
Cd  0.5000  0.0000  0.6414  3 Pb 3.02-3.18, 2 Bi 3.18
Bi  0.5000  0.5000  0.5000  4 Cd 3.18
Cs  0.0000  0.5000  0.7540  8 Cd 3.94-4.12, 6 Pb 3.97-4.20, 2 Bi 4.20
Pb  0.0000  0.5000  0.1269  5 Cd 3.02-3.07
Cd  0.0000  0.5000  0.3586  3 Pb 3.02-3.18, 2 Bi 3.18
Cs  0.5000  0.0000  0.2460  8 Cd 3.94-4.12, 6 Pb 3.97-4.20, 2 Bi 4.20
Cd  0.0000  0.0000  0.0000  4 Pb 3.07
Pb  0.0000  0.0000  0.5000  4 Cd 3.18